(1)
VASP calculation (PBE) on a relaxed structure of SbMo2Pt.

Formation energy from raw total energies, meV per atom: 192.2
M_tot, μB/cell: 0.0
E, eV per formula unit: -31.1
DOS(E_F), states/eV per cell: 2.4

a = 3.046 Å, b = 4.162 Å, c = 5.432 Å
α = 90.00°, β = 90.00°, γ = 90.00°
Sites, in units of the cell vectors:
1 Sb 0.000 0.000 0.000
2 Mo 0.500 0.500 0.268
3 Mo 0.500 0.500 0.732
4 Pt 0.000 0.000 0.500


(2)
VASP calculation (PBE) on a relaxed structure of NaTl6Sn8.

Energy of formation from the pure elements, eV/atom: 0.018
M_tot, μB/cell: 0.0
E, eV per formula unit: -47.3
DOS(E_F), states/eV per cell: 4.4

a = 8.197 Å, b = 8.197 Å, c = 8.197 Å
α = 68.77°, β = 68.77°, γ = 68.77°
Sites, in units of the cell vectors:
1 Na 0.000 0.000 0.000
2 Tl 0.147 0.147 0.535
3 Tl 0.147 0.535 0.147
4 Tl 0.465 0.853 0.853
5 Tl 0.535 0.147 0.147
6 Tl 0.853 0.465 0.853
7 Tl 0.853 0.853 0.465
8 Sn 0.159 0.713 0.713
9 Sn 0.287 0.287 0.841
10 Sn 0.287 0.841 0.287
11 Sn 0.416 0.416 0.416
12 Sn 0.584 0.584 0.584
13 Sn 0.713 0.159 0.713
14 Sn 0.713 0.713 0.159
15 Sn 0.841 0.287 0.287


(3)
VASP calculation (PBE) on a relaxed structure of RbTePd.

Formation energy from raw total energies, meV per atom: -254.7
M_tot, μB/cell: 0.0
E, eV per formula unit: -10.1
DOS(E_F), states/eV per cell: 5.1

a = 9.348 Å, b = 9.348 Å, c = 9.348 Å
α = 157.21°, β = 143.27°, γ = 43.66°
Sites, in units of the cell vectors:
1 Rb 0.171 0.171 0.000
2 Rb 0.829 0.829 0.000
3 Te 0.398 0.398 0.000
4 Te 0.602 0.602 0.000
5 Pd 0.274 0.000 0.274
6 Pd 0.726 0.000 0.726